PBE Pa11Ga9Co4, optimized geometry; density = 11.719 g cm⁻³; SG = Cmmm; E_form = -33.5 kJ per mole of atoms
1.0
3.972 0.000 0.000
0.000 10.568 -4.435
0.000 0.074 11.461
Co Ga Pa
4 9 11
direct
0.500 0.752 0.553 Co
0.500 0.553 0.752 Co
0.500 0.248 0.447 Co
0.500 0.447 0.248 Co
0.500 0.632 0.157 Ga
0.500 0.070 0.217 Ga
0.500 0.157 0.632 Ga
0.500 0.783 0.930 Ga
0.500 0.930 0.783 Ga
0.500 0.500 0.500 Ga
0.500 0.217 0.070 Ga
0.500 0.368 0.843 Ga
0.500 0.843 0.368 Ga
0.000 0.630 0.370 Pa
0.000 0.839 0.161 Pa
0.000 0.072 0.416 Pa
0.000 0.584 0.928 Pa
0.000 0.695 0.695 Pa
0.000 0.161 0.839 Pa
0.000 0.928 0.584 Pa
0.000 0.000 0.000 Pa
0.000 0.416 0.072 Pa
0.000 0.370 0.630 Pa
0.000 0.305 0.305 Pa



PBE Pa2Ga8Co, optimized geometry; density = 8.813 g cm⁻³; SG = P4/mmm; E_form = -38.6 kJ per mole of atoms
1.0
-2.900 1.910 -2.509
-3.013 -2.684 1.439
-2.407 7.081 8.170
Ga Co Pa
8 1 2
direct
0.500 0.500 0.305 Ga
0.500 0.000 0.116 Ga
0.000 0.500 0.500 Ga
0.000 0.500 0.884 Ga
0.500 0.000 0.884 Ga
0.500 0.000 0.500 Ga
0.500 0.500 0.695 Ga
0.000 0.500 0.116 Ga
0.000 0.000 0.000 Co
0.000 0.000 0.695 Pa
0.000 0.000 0.305 Pa



PBE Pa2Ga3Co2, optimized geometry; density = 10.247 g cm⁻³; SG = Cmmm; E_form = -35.3 kJ per mole of atoms
1.0
-2.213 -2.762 -0.109
2.150 -1.825 2.578
-6.189 4.735 5.682
Ga Pa Co
3 2 2
direct
0.500 0.431 0.863 Ga
0.500 0.569 0.137 Ga
0.000 0.000 0.000 Ga
0.000 0.831 0.662 Pa
0.000 0.169 0.338 Pa
0.500 0.300 0.600 Co
0.500 0.700 0.400 Co



Number 1: M_tot 0.76 μB/cell. Number 2: M_tot 0.00 μB/cell. Number 3: M_tot 0.00 μB/cell.